Record 1
This record from Alexandria via LeMat-Bulk describes a relaxed structure of Tb3Nd4Ho8. The functional is PBE.

Results
Fermi-level density of states in states/eV/atom: 2.011
Magnetization in μB per formula unit: 0.001
Energy in eV per atom: -4.272
Energy of formation from the pure elements in eV per formula unit: 5.50
Excess energy over the best structure of this formula in the dataset in meV per atom: 246

Unit cell a=6.759 b=9.296 c=9.296 alpha=87.31 beta=111.42 gamma=111.42
Element x y z (fractional)
Ho 0.005 0.270 0.270
Ho 0.500 0.256 0.744
Nd 0.000 0.500 0.000
Nd 0.000 0.000 0.500
Ho 0.476 0.732 0.732
Nd 0.000 0.000 0.000
Tb 0.500 0.000 0.500
Ho 0.000 0.638 0.362
Tb 0.500 0.500 0.000
Nd 0.500 0.000 0.000
Tb 0.500 0.500 0.500
Ho 0.995 0.730 0.730
Ho 0.000 0.362 0.638
Ho 0.500 0.744 0.256
Ho 0.524 0.268 0.268

---

Record 2
This record from Alexandria via LeMat-Bulk describes a relaxed structure of Tb11Nd4Ho9. The functional is PBE.

Results
Fermi-level density of states in states/eV/atom: 1.254
Magnetization in μB per formula unit: 0.001
Energy in eV per atom: -4.573
Energy of formation from the pure elements in eV per formula unit: 1.45

Unit cell a=3.689 b=15.110 c=15.110 alpha=112.73 beta=90.00 gamma=90.00
Element x y z (fractional)
Ho 0.500 0.163 0.635
Tb 0.000 0.407 0.045
Ho 0.500 0.635 0.163
Nd 0.500 0.755 0.554
Ho 0.500 0.212 0.066
Tb 0.000 0.841 0.159
Tb 0.000 0.955 0.593
Tb 0.000 0.635 0.365
Tb 0.000 0.593 0.955
Tb 0.000 0.159 0.841
Tb 0.000 0.289 0.289
Tb 0.000 0.365 0.635
Ho 0.500 0.837 0.365
Nd 0.500 0.446 0.245
Ho 0.500 0.934 0.788
Nd 0.500 0.245 0.446
Ho 0.500 0.066 0.212
Tb 0.000 0.045 0.407
Ho 0.500 0.365 0.837
Tb 0.000 0.711 0.711
Ho 0.500 0.500 0.500
Tb 0.000 0.000 0.000
Nd 0.500 0.554 0.755
Ho 0.500 0.788 0.934

---

Record 3
This record from Alexandria via LeMat-Bulk describes a relaxed structure of TbNd3Ho4. The functional is PBE.

Results
Fermi-level density of states in states/eV/atom: 1.560
Magnetization in μB per formula unit: 0.000
Energy in eV per atom: -4.522
Energy of formation from the pure elements in eV per formula unit: 1.07
Excess energy over the best structure of this formula in the dataset in meV per atom: 110

Unit cell a=3.475 b=8.932 c=8.932 alpha=81.66 beta=78.78 gamma=78.78
Element x y z (fractional)
Nd 0.757 0.243 0.243
Nd 0.000 0.500 0.500
Ho 0.365 0.889 0.381
Nd 0.243 0.757 0.757
Tb 0.500 0.000 0.000
Ho 0.635 0.111 0.619
Ho 0.635 0.619 0.111
Ho 0.365 0.381 0.889

---

Record 4
This record from Alexandria via LeMat-Bulk describes a relaxed structure of Tb8NdHo5. The functional is PBE.

Results
Fermi-level density of states in states/eV/atom: 1.548
Magnetization in μB per formula unit: 0.000
Energy in eV per atom: -4.375
Energy of formation from the pure elements in eV per formula unit: 3.45

Unit cell a=8.438 b=8.438 c=8.438 alpha=111.56 beta=105.36 gamma=111.56
Element x y z (fractional)
Tb 0.340 0.261 0.426
Ho 0.040 0.321 0.136
Ho 0.281 0.096 0.960
Tb 0.673 0.394 0.926
Ho 0.864 0.904 0.185
Tb 0.921 0.086 0.660
Tb 0.721 0.253 0.327
Ho 0.500 0.000 0.500
Tb 0.574 0.914 0.835
Tb 0.165 0.739 0.079
Tb 0.531 0.606 0.279
Tb 0.074 0.747 0.469
Nd 0.250 0.500 0.750
Ho 0.815 0.679 0.719

---

Record 5
This record from Alexandria via LeMat-Bulk describes a relaxed structure of Tb2Nd5Ho12. The functional is PBE.

Results
Fermi-level density of states in states/eV/atom: 1.375
Magnetization in μB per formula unit: 0.000
Energy in eV per atom: -4.614
Energy of formation from the pure elements in eV per formula unit: 0.38
Excess energy over the best structure of this formula in the dataset in meV per atom: 0

Unit cell a=6.179 b=10.709 c=12.850 alpha=133.81 beta=94.71 gamma=84.40
Element x y z (fractional)
Ho 0.104 0.791 0.922
Ho 0.789 0.422 0.659
Ho 0.631 0.738 0.026
Ho 0.526 0.948 0.606
Nd 0.000 0.000 0.500
Ho 0.317 0.368 0.763
Ho 0.474 0.052 0.394
Nd 0.263 0.474 0.553
Ho 0.055 0.896 0.713
Nd 0.842 0.315 0.868
Tb 0.420 0.156 0.182
Tb 0.580 0.844 0.818
Nd 0.158 0.685 0.132
Ho 0.211 0.578 0.341
Nd 0.737 0.526 0.447
Ho 0.369 0.262 0.974
Ho 0.683 0.632 0.237
Ho 0.896 0.209 0.078
Ho 0.945 0.104 0.287

---

Record 6
This record from Alexandria via LeMat-Bulk describes a relaxed structure of Tb9Nd4Ho11. The functional is PBE.

Results
Fermi-level density of states in states/eV/atom: 1.266
Magnetization in μB per formula unit: 0.015
Energy in eV per atom: -4.570
Energy of formation from the pure elements in eV per formula unit: 1.41

Unit cell a=3.696 b=15.084 c=15.084 alpha=112.72 beta=90.00 gamma=90.00
Element x y z (fractional)
Ho 0.000 0.593 0.955
Tb 0.500 0.934 0.788
Ho 0.000 0.364 0.636
Nd 0.500 0.754 0.554
Ho 0.000 0.636 0.364
Tb 0.500 0.788 0.934
Nd 0.500 0.246 0.446
Ho 0.000 0.045 0.407
Nd 0.500 0.446 0.246
Nd 0.500 0.554 0.754
Ho 0.000 0.000 0.000
Ho 0.000 0.159 0.841
Tb 0.500 0.366 0.838
Tb 0.500 0.838 0.366
Tb 0.500 0.634 0.162
Tb 0.500 0.066 0.212
Ho 0.000 0.841 0.159
Tb 0.500 0.212 0.066
Ho 0.000 0.955 0.593
Ho 0.000 0.407 0.045
Ho 0.000 0.714 0.714
Ho 0.000 0.286 0.286
Tb 0.500 0.162 0.634
Tb 0.500 0.500 0.500